Ac5Th12Sn3 after structural relaxation. Source: Alexandria via LeMat-Bulk, functional PBE.

Properties
- total energy (eV per atom) = -5.23
- energy of formation from the pure elements (eV per atom) = 0.8515
- total moment (μB per atom) = 0.0001

Cell lengths 16.4965, 16.4965, 16.4965 Å; angles 109.47, 109.47, 109.47 degrees
Atoms (fractional coordinates):
Sn  0.3750  0.7500  0.6250
Sn  0.1250  0.2500  0.8750
Sn  0.7500  0.3750  0.1250
Sn  0.6250  0.3750  0.7500
Sn  0.7500  0.8750  0.6250
Sn  0.6250  0.2500  0.3750
Sn  0.1250  0.8750  0.7500
Sn  0.8750  0.1250  0.2500
Sn  0.3750  0.6250  0.2500
Sn  0.2500  0.6250  0.8750
Sn  0.8750  0.7500  0.1250
Sn  0.2500  0.1250  0.3750
Ac  0.6250  0.7500  0.8750
Ac  0.5000  0.0000  0.5000
Ac  0.3750  0.1250  0.7500
Ac  0.5000  0.0000  0.0000
Ac  0.1250  0.7500  0.3750
Ac  0.5000  0.5000  0.5000
Ac  0.3750  0.2500  0.1250
Ac  0.2500  0.8750  0.1250
Ac  0.2500  0.3750  0.6250
Ac  0.8750  0.6250  0.7500
Ac  0.1250  0.3750  0.2500
Ac  0.7500  0.1250  0.8750
Ac  0.0000  0.0000  0.5000
Ac  0.0000  0.5000  0.0000
Ac  0.6250  0.8750  0.2500
Ac  0.8750  0.2500  0.6250
Ac  0.5000  0.5000  0.0000
Ac  0.7500  0.6250  0.3750
Ac  0.0000  0.0000  0.0000
Ac  0.0000  0.5000  0.5000
Th  0.6514  0.5709  0.9157
Th  0.4157  0.2643  0.3448
Th  0.9291  0.0843  0.8486
Th  0.8486  0.2643  0.4195
Th  0.0805  0.6514  0.7357
Th  0.4195  0.7643  0.8486
Th  0.2357  0.6552  0.0843
Th  0.8486  0.5843  0.9291
Th  0.3448  0.5805  0.4291
Th  0.5843  0.8486  0.4291
Th  0.7643  0.4195  0.3486
Th  0.9157  0.8448  0.7643
Th  0.0843  0.1552  0.2357
Th  0.5709  0.6514  0.4157
Th  0.9291  0.8448  0.5805
Th  0.1552  0.0709  0.9195
Th  0.9195  0.3486  0.2643
Th  0.5805  0.2357  0.1514
Th  0.1552  0.0843  0.7357
Th  0.5709  0.9195  0.6552
Th  0.5843  0.7357  0.6552
Th  0.0709  0.1552  0.4195
Th  0.8448  0.9157  0.2643
Th  0.3486  0.4291  0.0843
Th  0.9157  0.0709  0.6514
Th  0.6552  0.4195  0.5709
Th  0.6552  0.2357  0.5843
Th  0.0709  0.9157  0.1514
Th  0.6514  0.0805  0.2357
Th  0.3448  0.7643  0.4157
Th  0.1514  0.4157  0.0709
Th  0.3486  0.9195  0.7643
Th  0.0805  0.4291  0.8448
Th  0.2357  0.5805  0.6514
Th  0.7357  0.5843  0.1552
Th  0.9195  0.5709  0.1552
Th  0.1514  0.7357  0.5805
Th  0.4291  0.0805  0.3448
Th  0.7643  0.3448  0.9157
Th  0.2643  0.4157  0.8448
Th  0.4157  0.1514  0.5709
Th  0.4291  0.3486  0.5843
Th  0.2643  0.8486  0.9195
Th  0.7357  0.1514  0.0805
Th  0.5805  0.3448  0.9291
Th  0.4195  0.6552  0.0709
Th  0.8448  0.9291  0.0805
Th  0.0843  0.9291  0.3486